Record 1
Material: LaSc2Co
Method: DFT, PBEsol
State: relaxed

## Properties
space-group type = P4/mmm
E = -0.49320 Ry per atom

```
data_LaSc2Co
_chemical_formula_sum 'La1 Sc2 Co1'
_cell_length_a 3.1774
_cell_length_b 3.1774
_cell_length_c 8.4396
_cell_angle_alpha 90.00
_cell_angle_beta 90.00
_cell_angle_gamma 90.00
_symmetry_space_group_name_H-M 'P 1'
_symmetry_Int_Tables_number 1
loop_
_symmetry_equiv_pos_as_xyz
'x,y,z'
loop_
_atom_site_label
_atom_site_fract_x
_atom_site_fract_y
_atom_site_fract_z
_atom_site_occupancy
Sc1 0.0000 0.0000 0.8267 1
Sc2 0.0000 0.0000 0.1733 1
Co1 0.5000 0.5000 0.0000 1
La1 0.5000 0.5000 0.5000 1
```

Record 2
Material: LaSc2Co
Method: DFT, PBEsol
State: relaxed

## Properties
space-group type = R-3m
E = -0.47605 Ry per atom

```
data_LaSc2Co
_chemical_formula_sum 'La1 Sc2 Co1'
_cell_length_a 3.3359
_cell_length_b 3.3359
_cell_length_c 9.8433
_cell_angle_alpha 80.24
_cell_angle_beta 80.24
_cell_angle_gamma 60.00
_symmetry_space_group_name_H-M 'P 1'
_symmetry_Int_Tables_number 1
loop_
_symmetry_equiv_pos_as_xyz
'x,y,z'
loop_
_atom_site_label
_atom_site_fract_x
_atom_site_fract_y
_atom_site_fract_z
_atom_site_occupancy
Sc1 0.8864 0.8864 0.3408 1
Sc2 0.1136 0.1136 0.6592 1
Co1 0.5000 0.5000 0.5000 1
La1 0.0000 0.0000 0.0000 1
```

Among the records above, which one has the lowest E?
number 1